The following is a GGA-PBE calculation of Rb2HoBS4 after structural relaxation, from Alexandria.

calculated density: 3.12 g cm⁻³
E_form (uncorrected): -1.126 eV/atom
SG: Fddd, No. 70
spin magnetization: 0.0 μB per cell

```
data_Rb2HoBS4
_space_group_name_H-M_alt 'P 1'
_space_group_IT_number 1
_cell_length_a 14.2547
_cell_length_b 12.7208
_cell_length_c 7.6238
_cell_angle_alpha 85.05
_cell_angle_beta 62.76
_cell_angle_gamma 32.20
loop_
_space_group_symop_operation_xyz
'x,y,z'
loop_
_atom_site_label
_atom_site_type_symbol
_atom_site_fract_x
_atom_site_fract_y
_atom_site_fract_z
_atom_site_occupancy
Rb1 Rb 0.0541 0.0541 0.6959 1
Rb2 Rb 0.3041 0.3041 0.9459 1
Rb3 Rb 0.6959 0.6959 0.0541 1
Rb4 Rb 0.9459 0.9459 0.3041 1
Ho1 Ho 0.1250 0.1250 0.1250 1
Ho2 Ho 0.8750 0.8750 0.8750 1
B1 B 0.3750 0.3750 0.3750 1
B2 B 0.6250 0.6250 0.6250 1
S1 S 0.0616 0.5918 0.5156 1
S2 S 0.3310 0.5156 0.5918 1
S3 S 0.4082 0.9384 0.6690 1
S4 S 0.4844 0.6690 0.9384 1
S5 S 0.5156 0.3310 0.0616 1
S6 S 0.5918 0.0616 0.3310 1
S7 S 0.6690 0.4844 0.4082 1
S8 S 0.9384 0.4082 0.4844 1
```

---

The following is a GGA-PBE calculation of Er3Tm2Sc4 after structural relaxation, from Alexandria.

calculated density: 6.80 g cm⁻³
VASP energy: -5.21 eV/atom
SG: C2/c, No. 15
spin magnetization: 0.0 μB per cell

```
data_Er3Tm2Sc4
_space_group_name_H-M_alt 'P 1'
_space_group_IT_number 1
_cell_length_a 9.5645
_cell_length_b 9.5645
_cell_length_c 5.8242
_cell_angle_alpha 94.53
_cell_angle_beta 94.53
_cell_angle_gamma 69.94
loop_
_space_group_symop_operation_xyz
'x,y,z'
loop_
_atom_site_label
_atom_site_type_symbol
_atom_site_fract_x
_atom_site_fract_y
_atom_site_fract_z
_atom_site_occupancy
Er1 Er 0.0993 0.9007 0.7500 1
Er2 Er 0.2437 0.4311 0.8852 1
Er3 Er 0.4311 0.2437 0.3852 1
Er4 Er 0.5689 0.7563 0.6148 1
Er5 Er 0.7563 0.5689 0.1148 1
Er6 Er 0.9007 0.0993 0.2500 1
Tm1 Tm 0.0146 0.7295 0.1826 1
Tm2 Tm 0.2705 0.9854 0.3174 1
Tm3 Tm 0.7295 0.0146 0.6826 1
Tm4 Tm 0.9854 0.2705 0.8174 1
Sc1 Sc 0.0755 0.3627 0.3447 1
Sc2 Sc 0.3174 0.6006 0.4810 1
Sc3 Sc 0.3627 0.0755 0.8447 1
Sc4 Sc 0.3994 0.6826 0.0190 1
Sc5 Sc 0.6006 0.3174 0.9810 1
Sc6 Sc 0.6373 0.9245 0.1553 1
Sc7 Sc 0.6826 0.3994 0.5190 1
Sc8 Sc 0.9245 0.6373 0.6553 1
```

---

The following is a GGA-PBE calculation of MgRe2OsF after structural relaxation, from Alexandria.

calculated density: 14.09 g cm⁻³
E_form (uncorrected): 0.856 eV/atom
SG: P4/mmm, No. 123
spin magnetization: 0.0 μB per cell

```
data_MgRe2OsF
_space_group_name_H-M_alt 'P 1'
_space_group_IT_number 1
_cell_length_a 4.3042
_cell_length_b 4.3042
_cell_length_c 3.8533
_cell_angle_alpha 90.00
_cell_angle_beta 90.00
_cell_angle_gamma 90.00
loop_
_space_group_symop_operation_xyz
'x,y,z'
loop_
_atom_site_label
_atom_site_type_symbol
_atom_site_fract_x
_atom_site_fract_y
_atom_site_fract_z
_atom_site_occupancy
Mg1 Mg 0.0000 0.0000 0.0000 1
Re1 Re 0.0000 0.5000 0.5000 1
Re2 Re 0.5000 0.0000 0.5000 1
Os1 Os 0.5000 0.5000 0.0000 1
F1 F 0.0000 0.0000 0.5000 1
```

---

The following is a GGA-PBE calculation of Tb6Y2Sc after structural relaxation, from Alexandria.

calculated density: 6.98 g cm⁻³
SG: C2/m, No. 12
spin magnetization: 0.0 μB per cell
energy above the most stable polymorph in this dataset: 0 meV/atom

```
data_Tb6Y2Sc
_space_group_name_H-M_alt 'P 1'
_space_group_IT_number 1
_cell_length_a 9.3288
_cell_length_b 9.3288
_cell_length_c 8.6420
_cell_angle_alpha 90.08
_cell_angle_beta 90.08
_cell_angle_gamma 21.86
loop_
_space_group_symop_operation_xyz
'x,y,z'
loop_
_atom_site_label
_atom_site_type_symbol
_atom_site_fract_x
_atom_site_fract_y
_atom_site_fract_z
_atom_site_occupancy
Tb1 Tb 0.1109 0.1109 0.1687 1
Tb2 Tb 0.2224 0.2224 0.8321 1
Tb3 Tb 0.3363 0.3363 0.5001 1
Tb4 Tb 0.6637 0.6637 0.4999 1
Tb5 Tb 0.7776 0.7776 0.1679 1
Tb6 Tb 0.8891 0.8891 0.8313 1
Y1 Y 0.4459 0.4459 0.1721 1
Y2 Y 0.5541 0.5541 0.8279 1
Sc1 Sc 0.0000 0.0000 0.5000 1
```